1.
Computed, not measured: W3Se4S2 at its PBEsol-relaxed geometry at the SCAN level of DFT.

POSCAR file:
```
W3Se4S2
1.0
-3.1072 0.6490 0.5775
0.9181 -1.0285 -2.9170
-2.9281 -19.2346 5.8602
Se W S
4 3 2
Direct
0.0000 0.0000 0.7394 Se
0.0000 0.0000 0.5726 Se
0.6667 0.3333 0.4144 Se
0.6667 0.3333 0.2476 Se
0.0000 0.0000 0.3310 W
0.6667 0.3333 0.6560 W
0.0000 0.0000 0.9721 W
0.6667 0.3333 0.0478 S
0.6667 0.3333 0.8962 S
```

* SG: P3m1 (156)
* electronic total energy: -1.2829 Ha/atom



2.
Computed, not measured: W3Se4S2 at its PBEsol-relaxed geometry at the SCAN level of DFT.

POSCAR file:
```
W3Se4S2
1.0
3.2262 0.0000 0.0000
-1.6131 2.7940 0.0000
0.0000 0.0000 20.2402
Se W S
4 3 2
Direct
0.6667 0.3333 0.3997 Se
0.6667 0.3333 0.2324 Se
0.6667 0.3333 0.7676 Se
0.6667 0.3333 0.6003 Se
0.6667 0.3333 0.0000 W
0.0000 0.0000 0.6839 W
0.0000 0.0000 0.3161 W
0.0000 0.0000 0.0761 S
0.0000 0.0000 0.9239 S
```

* SG: P-6m2 (187)
* electronic total energy: -1.2829 Ha/atom



3.
Computed, not measured: W3Se2S4 at its PBEsol-relaxed geometry at the SCAN level of DFT.

POSCAR file:
```
W3Se2S4
1.0
-2.8551 -1.4068 -0.0934
2.4495 -1.4615 1.4153
-4.8219 8.6392 17.2668
S Se W
4 2 3
Direct
0.6667 0.3333 0.7549 S
0.6667 0.3333 0.5987 S
0.6667 0.3333 0.2451 S
0.6667 0.3333 0.4013 S
0.0000 0.0000 0.9140 Se
0.0000 0.0000 0.0860 Se
0.6667 0.3333 0.0000 W
0.0000 0.0000 0.6767 W
0.0000 0.0000 0.3233 W
```

* SG: P-6m2 (187)
* electronic total energy: -1.2013 Ha/atom



4.
Computed, not measured: YSe2S at its PBEsol-relaxed geometry at the SCAN level of DFT.

POSCAR file:
```
YSe2S
1.0
3.5861 0.0000 0.0000
1.7931 3.1057 0.0000
1.7931 1.0352 8.6295
S Y Se
1 1 2
Direct
0.5000 0.5000 0.5000 S
0.0000 0.0000 0.0000 Y
0.1058 0.1058 0.6826 Se
0.8942 0.8942 0.3174 Se
```

* DOS(E_F): 0.7120 states/eV/atom
* SG: R-3m (166)
* electronic total energy: -0.7058 Ha/atom



5.
Computed, not measured: Zn2SeS at its PBEsol-relaxed geometry at the SCAN level of DFT.

POSCAR file:
```
Zn2SeS
1.0
5.4955 0.0000 0.0000
0.0000 5.4955 0.0000
-2.7478 -2.7478 5.4893
Zn Se S
4 2 2
Direct
0.1250 0.1419 0.7500 Zn
0.3919 0.8750 0.2500 Zn
0.8581 0.3750 0.2500 Zn
0.6250 0.6081 0.7500 Zn
0.2500 0.7500 0.5000 Se
0.0000 0.0000 0.0000 Se
0.5000 0.5000 0.0000 S
0.7500 0.2500 0.5000 S
```

* DOS(E_F): 0.0000 states/eV/atom
* SG: I-42d (122)
* electronic total energy: -0.5529 Ha/atom



6.
Computed, not measured: Zn5SeS4 at its PBEsol-relaxed geometry at the SCAN level of DFT.

POSCAR file:
```
Zn5SeS4
1.0
3.8263 0.0000 0.0000
0.0000 3.8263 0.0000
-1.9131 -1.9131 13.5294
Zn S Se
5 4 1
Direct
0.3044 0.3044 0.6089 Zn
0.9023 0.9023 0.8045 Zn
0.5000 0.5000 0.0000 Zn
0.6956 0.6956 0.3911 Zn
0.0977 0.0977 0.1955 Zn
0.3533 0.8533 0.7066 S
0.5489 0.0489 0.0978 S
0.9511 0.4511 0.9022 S
0.1467 0.6467 0.2934 S
0.7500 0.2500 0.5000 Se
```

* DOS(E_F): 0.0000 states/eV/atom
* SG: I-4m2 (119)
* electronic total energy: -0.4969 Ha/atom



7.
Computed, not measured: ZnSeS3 at its PBEsol-relaxed geometry at the SCAN level of DFT.

POSCAR file:
```
ZnSeS3
1.0
-1.1020 -2.9954 -3.2367
3.7007 -2.4427 1.0006
-2.3986 -2.3925 3.0308
Se Zn S
1 1 3
Direct
0.5000 0.5000 0.5000 Se
0.0000 0.0000 0.0000 Zn
0.0000 0.0000 0.5000 S
0.0000 0.5000 0.0000 S
0.5000 0.0000 0.0000 S
```

* DOS(E_F): 0.7414 states/eV/atom
* SG: Pm-3m (221)
* electronic total energy: -0.4312 Ha/atom



8.
Computed, not measured: Zn2SeS at its PBEsol-relaxed geometry at the SCAN level of DFT.

POSCAR file:
```
Zn2SeS
1.0
3.8852 0.0000 0.0000
0.0000 3.8852 0.0000
0.0000 0.0000 5.4954
Zn Se S
2 1 1
Direct
0.0000 0.5000 0.2363 Zn
0.5000 0.0000 0.7637 Zn
0.0000 0.0000 0.5000 Se
0.5000 0.5000 0.0000 S
```

* DOS(E_F): 0.0000 states/eV/atom
* SG: P-4m2 (115)
* electronic total energy: -0.5527 Ha/atom



9.
Computed, not measured: Zn5Se4S at its PBEsol-relaxed geometry at the SCAN level of DFT.

POSCAR file:
```
Zn5Se4S
1.0
3.9445 0.0000 0.0000
1.9722 3.4160 0.0000
1.9722 1.1387 16.1192
S Zn Se
1 5 4
Direct
0.9497 0.9497 0.1509 S
0.3989 0.3989 0.8033 Zn
0.2010 0.2010 0.3969 Zn
0.8000 0.8000 0.6002 Zn
0.6023 0.6023 0.1932 Zn
0.9977 0.9977 0.0069 Zn
0.5517 0.5517 0.3449 Se
0.1506 0.1506 0.5481 Se
0.7496 0.7496 0.7513 Se
0.3485 0.3485 0.9544 Se
```

* DOS(E_F): 0.0000 states/eV/atom
* SG: R3m (160)
* electronic total energy: -0.6087 Ha/atom



10.
Computed, not measured: Zn2SeS at its PBEsol-relaxed geometry at the SCAN level of DFT.

POSCAR file:
```
Zn2SeS
1.0
-0.9995 3.4155 -1.5589
-2.6632 2.2267 1.7447
3.3622 4.7459 3.4009
Zn Se S
2 1 1
Direct
0.0040 0.0040 0.9881 Zn
0.4962 0.4962 0.5113 Zn
0.6243 0.6243 0.1270 Se
0.1255 0.1255 0.6235 S
```

* DOS(E_F): 0.0000 states/eV/atom
* SG: R3m (160)
* electronic total energy: -0.5526 Ha/atom



11.
Computed, not measured: Zr2Se2S at its PBEsol-relaxed geometry at the SCAN level of DFT.

POSCAR file:
```
Zr2Se2S
1.0
4.2741 0.0000 0.0000
0.0000 4.2741 0.0000
-2.1370 -2.1370 6.0659
S Zr Se
1 2 2
Direct
0.0000 0.0000 0.0000 S
0.6221 0.6221 0.2441 Zr
0.3779 0.3779 0.7559 Zr
0.2500 0.7500 0.5000 Se
0.7500 0.2500 0.5000 Se
```

* DOS(E_F): 0.0748 states/eV/atom
* SG: I4/mmm (139)
* electronic total energy: -0.8473 Ha/atom



12.
Computed, not measured: SiS4 at its PBEsol-relaxed geometry at the SCAN level of DFT.

POSCAR file:
```
SiS4
1.0
-1.2717 -3.7578 -2.6546
2.0738 -3.8695 4.4841
-6.4730 0.1800 2.8461
S Si
8 2
Direct
0.7500 0.7360 0.6391 S
0.2500 0.2640 0.3609 S
0.9779 0.7258 0.1202 S
0.7500 0.2370 0.3989 S
0.5221 0.7258 0.1202 S
0.0221 0.2742 0.8798 S
0.2500 0.7630 0.6011 S
0.4779 0.2742 0.8798 S
0.7500 0.3990 0.6676 Si
0.2500 0.6010 0.3324 Si
```

* DOS(E_F): 0.1891 states/eV/atom
* SG: P2_1/m (11)
* electronic total energy: -0.3598 Ha/atom



13.
Computed, not measured: Sm4Si3S12 at its PBEsol-relaxed geometry at the SCAN level of DFT.

POSCAR file:
```
Sm4Si3S12
1.0
7.7506 0.0000 0.0000
-2.5835 10.8661 0.0000
-2.5835 -5.4331 9.4103
S Si Sm
24 6 8
Direct
0.3472 0.7246 0.2655 S
0.2978 0.6834 0.7121 S
0.6226 0.5409 0.2754 S
0.8472 0.2655 0.7246 S
0.0817 0.7345 0.4591 S
0.6847 0.9997 0.8129 S
0.3719 0.1869 0.1871 S
0.7810 0.3953 0.4661 S
0.2810 0.4661 0.3953 S
0.6144 0.0287 0.3166 S
0.1850 0.0003 0.8131 S
0.1226 0.2754 0.5409 S
0.1144 0.3166 0.0287 S
0.5857 0.2879 0.9713 S
0.8719 0.1871 0.1869 S
0.3149 0.5339 0.9292 S
0.8856 0.6047 0.0708 S
0.8149 0.9292 0.5339 S
0.3856 0.0708 0.6047 S
0.1847 0.8129 0.9997 S
0.5817 0.4591 0.7345 S
0.0857 0.9713 0.2879 S
0.6850 0.8131 0.0003 S
0.7978 0.7121 0.6834 S
0.6395 0.1722 0.7874 Si
0.1395 0.7874 0.1722 Si
0.3521 0.3849 0.2126 Si
0.8521 0.2126 0.3849 Si
0.9672 0.8278 0.6151 Si
0.4672 0.6151 0.8278 Si
0.4968 0.0000 0.0000 Sm
0.4374 0.2242 0.4629 Sm
0.9968 0.0000 0.0000 Sm
0.2131 0.2387 0.7758 Sm
0.7131 0.7758 0.2387 Sm
0.9744 0.5371 0.7613 Sm
0.9374 0.4629 0.2242 Sm
0.4744 0.7613 0.5371 Sm
```

* DOS(E_F): 0.0000 states/eV/atom
* SG: R3c (161)
* electronic total energy: -0.6852 Ha/atom



14.
Computed, not measured: SiSnS2 at its PBEsol-relaxed geometry at the SCAN level of DFT.

POSCAR file:
```
SiSnS2
1.0
-1.5962 2.8588 0.7234
-2.6992 -0.0438 1.9891
3.4372 1.9793 7.5340
S Sn Si
2 1 1
Direct
0.8858 0.8858 0.3427 S
0.1142 0.1142 0.6573 S
0.0000 0.0000 0.0000 Sn
0.5000 0.5000 0.5000 Si
```

* DOS(E_F): 0.2846 states/eV/atom
* SG: R-3m (166)
* electronic total energy: -0.6109 Ha/atom



15.
Computed, not measured: Ta2SiS at its PBEsol-relaxed geometry at the SCAN level of DFT.

POSCAR file:
```
Ta2SiS
1.0
-1.8797 -1.5487 3.0516
-2.7811 -1.3374 -2.3918
6.8262 -6.0540 -1.3652
Si S Ta
2 2 4
Direct
0.5000 0.5000 0.0000 Si
0.7500 0.2500 0.5000 Si
0.2500 0.7500 0.5000 S
0.0000 0.0000 0.0000 S
0.8769 0.3750 0.2500 Ta
0.3731 0.8750 0.2500 Ta
0.1250 0.1231 0.7500 Ta
0.6250 0.6269 0.7500 Ta
```

* DOS(E_F): 0.5783 states/eV/atom
* SG: I-42d (122)
* electronic total energy: -1.3944 Ha/atom



16.
Computed, not measured: Tb4Si3S12 at its PBEsol-relaxed geometry at the SCAN level of DFT.

POSCAR file:
```
Tb4Si3S12
1.0
9.7657 0.0000 0.0579
0.0000 10.8644 0.0000
-3.7324 0.0000 15.7937
S Tb Si
48 16 12
Direct
0.8494 0.9775 0.7295 S
0.4996 0.7746 0.8124 S
0.8896 0.7405 0.4846 S
0.6647 0.5255 0.9783 S
0.3494 0.5225 0.2295 S
0.2411 0.5389 0.8118 S
0.8434 0.4387 0.5273 S
0.3896 0.7595 0.9846 S
0.0399 0.5649 0.0928 S
0.6522 0.6635 0.3131 S
0.6492 0.2337 0.6269 S
0.0783 0.3471 0.3147 S
0.3478 0.3365 0.6869 S
0.8478 0.1635 0.1869 S
0.5004 0.2254 0.1876 S
0.9217 0.6529 0.6853 S
0.1506 0.0225 0.2705 S
0.7589 0.4611 0.1882 S
0.0895 0.8462 0.0527 S
0.5895 0.6538 0.5527 S
0.4217 0.8471 0.1853 S
0.2468 0.7126 0.6337 S
0.6566 0.9387 0.9727 S
0.1492 0.2662 0.1269 S
0.4601 0.0649 0.4072 S
0.8508 0.7338 0.8731 S
0.9601 0.4351 0.9072 S
0.5783 0.1529 0.8147 S
0.7468 0.7874 0.1337 S
0.9105 0.1538 0.9473 S
0.3434 0.0613 0.0273 S
0.4105 0.3462 0.4473 S
0.3353 0.4745 0.0217 S
0.0004 0.2746 0.6876 S
0.9996 0.7254 0.3124 S
0.2589 0.0389 0.6882 S
0.1104 0.2595 0.5154 S
0.8353 0.0255 0.5217 S
0.6506 0.4775 0.7705 S
0.5399 0.9351 0.5928 S
0.6104 0.2405 0.0154 S
0.1566 0.5613 0.4727 S
0.7532 0.2874 0.3663 S
0.2532 0.2126 0.8663 S
0.1522 0.8365 0.8131 S
0.3508 0.7663 0.3731 S
0.7411 0.9611 0.3118 S
0.1647 0.9745 0.4783 S
0.5309 0.6251 0.1311 Tb
0.6789 0.7617 0.7099 Tb
0.3755 0.1518 0.5593 Tb
0.3903 0.9829 0.8746 Tb
0.1097 0.4829 0.6254 Tb
0.1789 0.7383 0.2099 Tb
0.6097 0.0171 0.1254 Tb
0.1245 0.6518 0.9407 Tb
0.6245 0.8482 0.4407 Tb
0.8903 0.5171 0.3746 Tb
0.0309 0.8749 0.6311 Tb
0.8211 0.2617 0.7901 Tb
0.3211 0.2383 0.2901 Tb
0.9691 0.1251 0.3689 Tb
0.8755 0.3482 0.0593 Tb
0.4691 0.3749 0.8689 Tb
0.7208 0.0540 0.6170 Si
0.3012 0.8832 0.0602 Si
0.1988 0.3832 0.4398 Si
0.2912 0.7144 0.7666 Si
0.7088 0.2856 0.2334 Si
0.8012 0.6168 0.5602 Si
0.2208 0.4460 0.1170 Si
0.7792 0.5540 0.8830 Si
0.7912 0.7856 0.2666 Si
0.2088 0.2144 0.7334 Si
0.2792 0.9460 0.3830 Si
0.6988 0.1168 0.9398 Si
```

* DOS(E_F): 0.0000 states/eV/atom
* SG: P2_1/c (14)
* electronic total energy: -0.7027 Ha/atom



17.
Computed, not measured: Tb12Si5S28 at its PBEsol-relaxed geometry at the SCAN level of DFT.

POSCAR file:
```
Tb12Si5S28
1.0
9.6955 -0.0015 0.0001
4.8452 10.1047 0.0093
4.8453 3.8201 9.3702
S Si Tb
28 5 12
Direct
0.1399 0.2253 0.5468 S
0.3318 0.8989 0.4375 S
0.3346 0.3954 0.9333 S
0.0905 0.4116 0.7289 S
0.4726 0.2092 0.2240 S
0.8376 0.7452 0.5131 S
0.4136 0.0433 0.0638 S
0.9129 0.0426 0.8059 S
0.6604 0.8243 0.8571 S
0.5803 0.6927 0.2030 S
0.8990 0.5051 0.0140 S
0.4221 0.5429 0.5526 S
0.9041 0.5354 0.3032 S
0.0932 0.9530 0.2158 S
0.1056 0.2392 0.2544 S
0.8971 0.0074 0.5191 S
0.1005 0.7244 0.7408 S
0.8487 0.2380 0.0004 S
0.2375 0.0755 0.8394 S
0.2580 0.5667 0.3348 S
0.7356 0.9180 0.1793 S
0.5788 0.1964 0.7051 S
0.4896 0.6914 0.7074 S
0.6733 0.3107 0.3420 S
0.5250 0.5362 0.0399 S
0.7729 0.3863 0.7037 S
0.5181 0.0344 0.5506 S
0.1683 0.7378 0.9947 S
0.6668 0.5034 0.1610 Si
0.6663 0.0047 0.6650 Si
0.3341 0.0864 0.2532 Si
0.3339 0.5799 0.7448 Si
0.0013 0.2281 0.7723 Si
0.2221 0.4650 0.1831 Tb
0.8607 0.2722 0.5033 Tb
0.7753 0.5705 0.7960 Tb
0.1306 0.7481 0.4701 Tb
0.1292 0.2334 0.0040 Tb
0.8729 0.7611 0.0179 Tb
0.6351 0.1845 0.9513 Tb
0.7768 0.0418 0.3063 Tb
0.2332 0.9301 0.7022 Tb
0.3663 0.3153 0.5451 Tb
0.6487 0.7024 0.4245 Tb
0.3451 0.8083 0.0666 Tb
```

* DOS(E_F): 0.0000 states/eV/atom
* SG: P1 (1)
* electronic total energy: -0.7865 Ha/atom



18.
Computed, not measured: SiTcS2 at its PBEsol-relaxed geometry at the SCAN level of DFT.

POSCAR file:
```
SiTcS2
1.0
5.1439 0.0000 0.0000
0.0000 5.1439 0.0000
-2.5719 -2.5719 5.2113
Si Tc S
2 2 4
Direct
0.5000 0.5000 0.0000 Si
0.7500 0.2500 0.5000 Si
0.2500 0.7500 0.5000 Tc
0.0000 0.0000 0.0000 Tc
0.3789 0.8750 0.2500 S
0.1250 0.1289 0.7500 S
0.8711 0.3750 0.2500 S
0.6250 0.6211 0.7500 S
```

* DOS(E_F): 0.3393 states/eV/atom
* SG: I-42d (122)
* electronic total energy: -0.5887 Ha/atom



19.
Computed, not measured: Si2W2S at its PBEsol-relaxed geometry at the SCAN level of DFT.

POSCAR file:
```
Si2W2S
1.0
-0.8002 -3.0042 2.9308
4.1998 -1.1222 -0.0037
0.7724 2.8802 3.1632
W Si S
2 2 1
Direct
0.5000 0.5000 0.5000 W
0.5000 0.0000 0.0000 W
0.0000 0.0000 0.5000 Si
0.0000 0.5000 0.0000 Si
0.0000 0.0000 0.0000 S
```

* DOS(E_F): 0.7119 states/eV/atom
* SG: P4/mmm (123)
* electronic total energy: -1.1850 Ha/atom